Below is an optimized crystal structure of HfGaRh5, with properties calculated at the PBE-GGA level.

Cell and atoms, written as POSCAR:
```
HfGaRh5
1.0
-2.911 -2.860 0.010
2.731 -2.783 -1.205
1.380 -1.381 6.317
Hf Ga Rh
1 1 5
direct
0.000 0.000 0.500
0.500 0.500 0.000
0.000 0.500 0.780
0.000 0.500 0.220
0.500 0.000 0.780
0.500 0.000 0.220
0.500 0.500 0.500
```

**Total moment**: 0.0000 μB/atom
**N(E_F)**: 7.60 states/eV/f.u.
**E_form**: -0.46 eV/atom
**SG**: P4/mmm, No. 123

***

Below is an optimized crystal structure of CdCuBi2, with properties calculated at the PBE-GGA level.

Cell and atoms, written as POSCAR:
```
CdCuBi2
1.0
3.416 0.000 0.000
1.708 2.959 0.000
1.708 0.986 10.742
Bi Cu Cd
2 1 1
direct
0.083 0.083 0.752
0.917 0.917 0.248
0.000 0.000 0.000
0.500 0.500 0.500
```

**Total moment**: 0.0000 μB/atom
**N(E_F)**: 1.62 states/eV/f.u.
**E_form**: 0.33 eV/atom
**SG**: R-3m, No. 166

***

Below is an optimized crystal structure of Tb6Ir2Pd, with properties calculated at the PBE-GGA level.

Cell and atoms, written as POSCAR:
```
Tb6Ir2Pd
1.0
6.667 0.000 0.035
0.000 7.236 0.000
-0.780 0.000 10.006
Tb Ir Pd
12 4 2
direct
0.830 0.947 0.242
0.818 0.670 0.584
0.840 0.683 0.931
0.660 0.183 0.569
0.682 0.170 0.916
0.670 0.447 0.258
0.170 0.053 0.758
0.182 0.330 0.416
0.160 0.317 0.069
0.340 0.817 0.431
0.318 0.830 0.084
0.330 0.553 0.742
0.952 0.384 0.773
0.548 0.884 0.727
0.452 0.116 0.273
0.048 0.616 0.227
0.500 0.500 0.000
0.000 0.000 0.500
```

**Total moment**: 0.0000 μB/atom
**N(E_F)**: 8.21 states/eV/f.u.
**E_form**: -0.60 eV/atom
**SG**: P2_1/c, No. 14

***

Below is an optimized crystal structure of NaRu2O5, with properties calculated at the PBE-GGA level.

Cell and atoms, written as POSCAR:
```
NaRu2O5
1.0
3.183 0.000 0.000
1.592 5.748 1.468
1.592 2.499 5.381
Na Ru O
1 2 5
direct
0.000 0.000 0.000
0.822 0.678 0.678
0.178 0.322 0.322
0.000 0.500 0.500
0.664 0.592 0.081
0.336 0.408 0.919
0.336 0.919 0.408
0.664 0.081 0.592
```

**Total moment**: 0.1422 μB/atom
**N(E_F)**: 5.12 states/eV/f.u.
**E_form (uncorrected)**: -89.42 kJ per mole of atoms
**SG**: Immm, No. 71
**Excess energy over the best structure of this formula in the dataset**: 1.090 eV/f.u.

***

Below is an optimized crystal structure of PrHo3, with properties calculated at the PBE-GGA level.

Cell and atoms, written as POSCAR:
```
PrHo3
1.0
-0.403 -6.782 2.560
4.501 1.549 -5.483
4.158 1.166 3.743
Pr Ho
2 6
direct
0.667 0.333 0.250
0.333 0.667 0.750
0.835 0.669 0.750
0.835 0.165 0.750
0.331 0.165 0.750
0.669 0.835 0.250
0.165 0.835 0.250
0.165 0.331 0.250
```

**Total moment**: 0.0000 μB/atom
**N(E_F)**: 7.21 states/eV/f.u.
**E_form**: 0.01 eV/atom
**SG**: P6_3/mmc, No. 194
**Excess energy over the best structure of this formula in the dataset**: 0.000 eV/f.u.

***

Below is an optimized crystal structure of Be2BiMoOs, with properties calculated at the PBE-GGA level.

Cell and atoms, written as POSCAR:
```
Be2BiMoOs
1.0
4.344 0.000 0.000
0.000 4.892 0.000
0.000 0.000 4.344
Be Mo Os Bi
2 1 1 1
direct
0.000 0.000 0.500
0.500 0.000 0.000
0.000 0.500 0.000
0.000 0.000 0.000
0.500 0.500 0.500
```

**Total moment**: 0.2196 μB/atom
**N(E_F)**: 3.22 states/eV/f.u.
**E_form**: 0.86 eV/atom
**SG**: P4/mmm, No. 123

***

Below is an optimized crystal structure of Er11Tl9Cd4, with properties calculated at the PBE-GGA level.

Cell and atoms, written as POSCAR:
```
Er11Tl9Cd4
1.0
3.529 0.000 0.000
0.000 12.945 -3.727
0.000 1.660 13.368
Er Tl Cd
11 9 4
direct
0.000 0.591 0.929
0.000 0.409 0.071
0.000 0.929 0.591
0.000 0.071 0.409
0.000 0.642 0.358
0.000 0.358 0.642
0.000 0.819 0.181
0.000 0.181 0.819
0.000 0.000 0.000
0.000 0.768 0.768
0.000 0.232 0.232
0.500 0.613 0.143
0.500 0.387 0.857
0.500 0.143 0.613
0.500 0.857 0.387
0.500 0.794 0.974
0.500 0.206 0.026
0.500 0.974 0.794
0.500 0.026 0.206
0.500 0.500 0.500
0.500 0.566 0.727
0.500 0.434 0.273
0.500 0.727 0.566
0.500 0.273 0.434
```

**Total moment**: 0.0308 μB/atom
**N(E_F)**: 18.68 states/eV/f.u.
**E_form**: -0.27 eV/atom
**SG**: Cmmm, No. 65

***

Below is an optimized crystal structure of SmZn4Ru, with properties calculated at the PBE-GGA level.

Cell and atoms, written as POSCAR:
```
SmZn4Ru
1.0
5.175 0.000 0.000
2.588 4.482 0.000
2.588 1.494 4.226
Ru Zn Sm
1 4 1
direct
0.250 0.250 0.250
0.623 0.623 0.130
0.623 0.130 0.623
0.623 0.623 0.623
0.130 0.623 0.623
0.000 0.000 0.000
```

**Total moment**: 0.0001 μB/atom
**N(E_F)**: 3.74 states/eV/f.u.
**E_form**: -0.25 eV/atom
**SG**: F-43m, No. 216
**Excess energy over the best structure of this formula in the dataset**: 0.000 eV/f.u.

***

Below is an optimized crystal structure of La6Pm5Dy, with properties calculated at the PBE-GGA level.

Cell and atoms, written as POSCAR:
```
La6Pm5Dy
1.0
6.355 -0.009 0.078
-0.014 6.862 2.813
0.026 0.006 9.763
Pm Dy La
5 1 6
direct
0.667 0.166 0.667
0.335 0.333 0.333
0.000 0.500 0.000
0.665 0.667 0.667
0.333 0.834 0.333
0.000 0.000 0.000
0.834 0.585 0.332
0.834 0.083 0.332
0.500 0.752 0.000
0.500 0.248 0.000
0.166 0.917 0.668
0.166 0.415 0.668
```

**Total moment**: 0.0000 μB/atom
**N(E_F)**: 20.99 states/eV/f.u.
**E_form**: 0.02 eV/atom
**SG**: P-1, No. 2

***

Below is an optimized crystal structure of CsTmHgBr6, with properties calculated at the PBE-GGA level.

Cell and atoms, written as POSCAR:
```
CsTmHgBr6
1.0
7.357 0.000 0.000
3.678 6.371 0.000
0.000 0.000 8.110
Cs Tm Hg Br
1 1 1 6
direct
0.000 0.000 0.000
0.667 0.667 0.500
0.333 0.333 0.500
0.991 0.383 0.298
0.383 0.991 0.702
0.625 0.383 0.702
0.991 0.625 0.702
0.383 0.625 0.298
0.625 0.991 0.298
```

**Total moment**: 0.0000 μB/atom
**N(E_F)**: 0.00 states/eV/f.u.
**E_form (uncorrected)**: -133.57 kJ per mole of atoms
**SG**: P312, No. 149

***

Below is an optimized crystal structure of Sr2Ga2Re, with properties calculated at the PBE-GGA level.

Cell and atoms, written as POSCAR:
```
Sr2Ga2Re
1.0
-1.027 7.242 5.512
4.091 -4.588 6.789
2.706 1.073 -0.906
Re Ga Sr
2 4 4
direct
0.000 0.000 0.000
0.500 0.500 0.000
0.098 0.598 0.500
0.598 0.902 0.500
0.902 0.402 0.500
0.402 0.098 0.500
0.301 0.801 0.000
0.801 0.699 0.000
0.699 0.199 0.000
0.199 0.301 0.000
```

**Total moment**: 0.3195 μB/atom
**N(E_F)**: 5.78 states/eV/f.u.
**E_form**: 0.86 eV/atom
**SG**: P4/mbm, No. 127
**Excess energy over the best structure of this formula in the dataset**: 1.410 eV/f.u.

***

Below is an optimized crystal structure of Cs3CeBi2Te6, with properties calculated at the PBE-GGA level.

Cell and atoms, written as POSCAR:
```
Cs3CeBi2Te6
1.0
-2.670 -2.900 -7.123
-3.402 -2.520 6.953
-3.891 8.450 -0.431
Cs Ce Bi Te
3 1 2 6
direct
0.167 0.833 0.500
0.833 0.167 0.500
0.500 0.500 0.500
0.000 0.000 0.000
0.333 0.667 0.000
0.667 0.333 0.000
0.936 0.599 0.807
0.727 0.727 0.193
0.064 0.401 0.193
0.599 0.936 0.807
0.273 0.273 0.807
0.401 0.064 0.193
```

**Total moment**: 0.0839 μB/atom
**N(E_F)**: 8.24 states/eV/f.u.
**E_form (uncorrected)**: -82.65 kJ per mole of atoms
**SG**: C2/m, No. 12

***

Below is an optimized crystal structure of FeCu4As, with properties calculated at the PBE-GGA level.

Cell and atoms, written as POSCAR:
```
FeCu4As
1.0
0.000 3.431 3.431
3.431 0.000 3.431
3.431 3.431 0.000
Fe Cu As
1 4 1
direct
0.750 0.750 0.750
0.874 0.375 0.375
0.375 0.375 0.874
0.375 0.874 0.375
0.375 0.375 0.375
0.000 0.000 0.000
```

**Total moment**: 0.5171 μB/atom
**N(E_F)**: 5.59 states/eV/f.u.
**E_form**: 0.28 eV/atom
**SG**: F-43m, No. 216

***

Below is an optimized crystal structure of AcGa2CoGe, with properties calculated at the PBE-GGA level.

Cell and atoms, written as POSCAR:
```
AcGa2CoGe
1.0
-1.548 -3.712 1.529
0.320 -1.714 -3.837
5.710 1.066 2.314
Ac Ga Co Ge
1 2 1 1
direct
0.439 0.439 0.879
0.687 0.187 0.374
0.070 0.070 0.139
0.198 0.698 0.396
0.818 0.818 0.636
```

**Total moment**: 0.1428 μB/atom
**N(E_F)**: 3.33 states/eV/f.u.
**E_form**: -0.39 eV/atom
**SG**: Imm2, No. 44

***

Below is an optimized crystal structure of SmPaGa, with properties calculated at the PBE-GGA level.

Cell and atoms, written as POSCAR:
```
SmPaGa
1.0
-3.308 -0.002 -0.284
-0.316 -3.471 3.705
-0.101 4.956 1.142
Pa Ga Sm
1 1 1
direct
0.287 0.667 0.333
0.988 0.000 0.000
0.725 0.333 0.667
```

**Total moment**: 0.0008 μB/atom
**N(E_F)**: 5.55 states/eV/f.u.
**E_form**: 0.08 eV/atom
**SG**: P3m1, No. 156
**Excess energy over the best structure of this formula in the dataset**: 0.538 eV/f.u.

***

Below is an optimized crystal structure of Nd8Co2Sb, with properties calculated at the PBE-GGA level.

Cell and atoms, written as POSCAR:
```
Nd8Co2Sb
1.0
-2.710 3.970 -2.799
2.996 -3.928 -6.430
-6.485 -3.441 3.442
Nd Co Sb
8 2 1
direct
0.936 0.924 0.669
0.936 0.669 0.924
0.303 0.605 0.605
0.500 0.752 0.248
0.500 0.248 0.752
0.697 0.395 0.395
0.064 0.331 0.076
0.064 0.076 0.331
0.000 0.293 0.707
0.000 0.707 0.293
0.500 0.000 0.000
```

**Total moment**: 0.0000 μB/atom
**N(E_F)**: 13.16 states/eV/f.u.
**E_form (uncorrected)**: -14.16 kJ per mole of atoms
**SG**: C2/m, No. 12

***

Below is an optimized crystal structure of Tm6Al3Ag, with properties calculated at the PBE-GGA level.

Cell and atoms, written as POSCAR:
```
Tm6Al3Ag
1.0
5.105 0.000 0.000
0.000 8.405 -2.921
0.000 -0.051 11.301
Tm Al Ag
12 6 2
direct
0.250 0.461 0.082
0.750 0.539 0.918
0.250 0.138 0.161
0.750 0.862 0.839
0.250 0.661 0.668
0.750 0.339 0.332
0.250 0.254 0.500
0.750 0.746 0.500
0.250 0.836 0.303
0.750 0.164 0.697
0.250 0.103 0.871
0.750 0.897 0.129
0.250 0.526 0.372
0.750 0.474 0.628
0.250 0.391 0.785
0.750 0.609 0.215
0.250 0.772 0.970
0.750 0.228 0.030
0.250 0.958 0.595
0.750 0.042 0.405
```

**Total moment**: 0.0000 μB/atom
**N(E_F)**: 8.70 states/eV/f.u.
**E_form**: -0.28 eV/atom
**SG**: P2_1/m, No. 11

***

Below is an optimized crystal structure of NpBi2Pd2, with properties calculated at the PBE-GGA level.

Cell and atoms, written as POSCAR:
```
NpBi2Pd2
1.0
4.773 0.000 0.000
0.000 4.609 1.399
0.000 1.417 11.699
Np Bi Pd
2 4 4
direct
0.250 0.581 0.171
0.750 0.419 0.829
0.250 0.919 0.829
0.750 0.081 0.171
0.250 0.249 0.501
0.750 0.751 0.499
0.250 0.589 0.660
0.750 0.411 0.340
0.250 0.233 0.018
0.750 0.767 0.982
```

**Total moment**: 0.8123 μB/atom
**N(E_F)**: 9.36 states/eV/f.u.
**E_form**: -0.19 eV/atom
**SG**: P2_1/m, No. 11

***

Below is an optimized crystal structure of HfScAs2Se, with properties calculated at the PBE-GGA level.

Cell and atoms, written as POSCAR:
```
HfScAs2Se
1.0
-1.883 -1.704 -4.287
4.616 -0.857 -1.686
-0.161 -4.604 1.900
Sc As Hf Se
1 2 1 1
direct
0.000 0.000 0.000
0.000 0.000 0.500
0.500 0.000 0.000
0.500 0.500 0.500
0.000 0.500 0.000
```

**Total moment**: 0.0000 μB/atom
**N(E_F)**: 4.90 states/eV/f.u.
**E_form (uncorrected)**: 14.73 kJ per mole of atoms
**SG**: P4/mmm, No. 123
**Excess energy over the best structure of this formula in the dataset**: 1.950 eV/f.u.

***

Below is an optimized crystal structure of Pr3InRh, with properties calculated at the PBE-GGA level.

Cell and atoms, written as POSCAR:
```
Pr3InRh
1.0
5.425 0.000 0.002
0.001 7.818 -0.523
-0.002 -0.181 7.158
Pr In Rh
6 2 2
direct
0.543 0.971 0.653
0.543 0.346 0.988
0.043 0.185 0.426
0.043 0.650 0.877
0.543 0.506 0.440
0.543 0.897 0.150
0.043 0.769 0.390
0.043 0.112 0.942
0.543 0.663 0.812
0.043 0.444 0.198
```

**Total moment**: 0.0000 μB/atom
**N(E_F)**: 5.33 states/eV/f.u.
**E_form**: -0.39 eV/atom
**SG**: Pm, No. 6
**Excess energy over the best structure of this formula in the dataset**: 0.217 eV/f.u.